Record 1
DFT (PBE) results for a geometry-optimized HfMgAs2 structure.

Cell: 3.8585 3.8585 6.9245 Å, 73.82 73.82 60.00°
Sites, in units of the cell vectors:
Mg1 0.4982 0.4982 0.5055
As1 0.0805 0.0805 0.7586
As2 0.2539 0.2539 0.2384
Hf1 0.6675 0.6675 0.9974

- calculated volume (Å³ per cell) = 85
- DOS at the Fermi energy (states/eV/f.u.) = 0.78
- distance to the lowest polymorph of the same formula (meV/atom) = 50.7
- space-group type = R3m (160)
- energy relative to the elements (eV per formula unit) = -2.85

Record 2
DFT (PBE) results for a geometry-optimized HfMgAs2 structure.

Cell: 3.8593 3.8593 6.8189 Å, 73.56 73.56 60.00°
Sites, in units of the cell vectors:
As1 0.7482 0.7482 0.7555
Hf1 0.0000 0.0000 0.0000
As2 0.2518 0.2518 0.2445
Mg1 0.5000 0.5000 0.5000

- calculated volume (Å³ per cell) = 83
- DOS at the Fermi energy (states/eV/f.u.) = 0.62
- distance to the lowest polymorph of the same formula (meV/atom) = 0.0
- space-group type = R-3m (166)
- energy relative to the elements (eV per formula unit) = -3.05

Record 3
DFT (PBE) results for a geometry-optimized HfMgAs3 structure.

Cell: 4.8417 4.8417 4.8417 Å, 90.00 90.00 90.00°
Sites, in units of the cell vectors:
As1 0.0000 0.0000 0.5000
As2 0.5000 0.0000 0.0000
Hf1 0.5000 0.5000 0.5000
As3 0.0000 0.5000 0.0000
Mg1 0.0000 0.0000 0.0000

- calculated volume (Å³ per cell) = 114
- DOS at the Fermi energy (states/eV/f.u.) = 4.63
- distance to the lowest polymorph of the same formula (meV/atom) = 549.5
- space-group type = Pm-3m (221)
- energy relative to the elements (eV per formula unit) = 3.20

Record 4
DFT (PBE) results for a geometry-optimized HfMgAs2 structure.

Cell: 6.1174 6.1174 7.3859 Å, 65.54 65.54 90.00°
Sites, in units of the cell vectors:
Mg1 0.2500 0.7500 0.5000
Mg2 0.5000 0.5000 0.0000
As1 0.1145 0.6250 0.2500
Hf1 0.0000 0.0000 0.0000
As2 0.3750 0.3645 0.7500
As3 0.6355 0.1250 0.2500
As4 0.8750 0.8855 0.7500
Hf2 0.7500 0.2500 0.5000

- calculated volume (Å³ per cell) = 224
- DOS at the Fermi energy (states/eV/f.u.) = 0.00
- distance to the lowest polymorph of the same formula (meV/atom) = 258.5
- space-group type = I-42d (122)
- energy relative to the elements (eV per formula unit) = -2.02